No. 1
# Rh2WBr | the Alexandria database | SCAN | PBEsol geometry
data_Rh2WBr
_space_group_name_H-M_alt 'C 1 2/m 1'
_space_group_IT_number 12
_space_group_name_Hall '-C 2y'
_cell_length_a 9.1361
_cell_length_b 2.8789
_cell_length_c 4.6350
_cell_angle_alpha 90.00
_cell_angle_beta 93.44
_cell_angle_gamma 90.00
loop_
_atom_site_label
_atom_site_fract_x
_atom_site_fract_y
_atom_site_fract_z
Rh1 0.2318 0.0000 0.2350
W1 0.0000 0.5000 0.0000
Br1 0.0000 0.0000 0.5000
# Energy relative to the elements, uncorrected, eV/atom: 0.676
# Density of states at the Fermi level, states/eV/atom: 0.82
# ΔE to the lowest computed polymorph, meV per atom: 72
# M_tot, μB per formula unit: 0.00

=====

No. 2
# Sm2Sb5 | the Alexandria database | SCAN | PBEsol geometry
data_Sm2Sb5
_space_group_name_H-M_alt 'P 1 21/m 1'
_space_group_IT_number 11
_space_group_name_Hall '-P 2yb'
_cell_length_a 13.1997
_cell_length_b 4.1754
_cell_length_c 14.6568
_cell_angle_alpha 90.00
_cell_angle_beta 102.04
_cell_angle_gamma 90.00
loop_
_atom_site_label
_atom_site_fract_x
_atom_site_fract_y
_atom_site_fract_z
Sm1 0.0485 0.2500 0.3614
Sm2 0.3314 0.2500 0.5778
Sm3 0.3360 0.2500 0.8557
Sm4 0.3922 0.7500 0.2288
Sb1 0.0320 0.2500 0.0912
Sb2 0.1380 0.2500 0.6786
Sb3 0.1428 0.7500 0.2205
Sb4 0.1438 0.7500 0.5207
Sb5 0.1482 0.7500 0.8284
Sb6 0.2787 0.2500 0.0626
Sb7 0.2853 0.2500 0.3477
Sb8 0.4201 0.7500 0.0238
Sb9 0.4247 0.7500 0.7350
Sb10 0.4260 0.7500 0.4491
# Energy relative to the elements, uncorrected, eV/atom: -0.757
# Density of states at the Fermi level, states/eV/atom: 0.26
# M_tot, μB per formula unit: 0.00